Density functional theory data (GGA-PBE) for Hg3H4Pd9 after structural relaxation.

Cell and atoms, written as CIF:
```
data_Hg3H4Pd9
_chemical_formula_sum 'Hg3 H4 Pd9'
_space_group_name_H-M_alt 'P 1'
_space_group_IT_number 1
_space_group_name_Hall 'P 1'
_cell_length_a 8.297
_cell_length_b 8.297
_cell_length_c 8.297
_cell_angle_alpha 40.43
_cell_angle_beta 40.43
_cell_angle_gamma 40.43
loop_
_atom_site_label
_atom_site_fract_x
_atom_site_fract_y
_atom_site_fract_z
_atom_site_occupancy
Hg1 0.000 0.000 0.000 1
Hg2 0.437 0.437 0.437 1
Hg3 0.563 0.563 0.563 1
H1 0.141 0.141 0.141 1
H2 0.285 0.285 0.285 1
H3 0.715 0.715 0.715 1
H4 0.859 0.859 0.859 1
Pd1 0.000 0.500 0.500 1
Pd2 0.061 0.061 0.559 1
Pd3 0.061 0.559 0.061 1
Pd4 0.441 0.939 0.939 1
Pd5 0.500 0.000 0.500 1
Pd6 0.500 0.500 0.000 1
Pd7 0.559 0.061 0.061 1
Pd8 0.939 0.441 0.939 1
Pd9 0.939 0.939 0.441 1
```

Computed properties:
As for the density: 12.0 g/cm3. The crystal system is trigonal. For the volume, the calculation gives 13.5 A^3/atom. As for the total magnetization: 0.00 μB per cell. The total energy comes out at -3.916 eV/atom.